This record from Alexandria describes crystalline ScTa2Mo at its relaxed geometry. The functional is PBE-GGA.

abc: 3.2894 4.8004 9.3611
angles: 90.00 90.00 90.00
Fractional coordinates of all 8 atoms:
Sc 0.0000 0.0000 0.0000
Sc 0.5000 0.5000 0.0000
Ta 0.0000 0.0000 0.4733
Ta 0.0000 0.5000 0.7201
Ta 0.5000 0.0000 0.7201
Ta 0.5000 0.5000 0.4733
Mo 0.0000 0.5000 0.2466
Mo 0.5000 0.0000 0.2466

Summary:
Its raw total energy is -81.025 eV/cell. As for the formation energy: 89 meV per atom.